i.
First-principles (GGA-PBE) data for KSn2Pt2 after structural relaxation, as listed in the Alexandria database.

Geometry as CIF:
```
data_KSn2Pt2
_space_group_name_H-M_alt 'P 1'
_space_group_IT_number 1
_cell_length_a 4.876
_cell_length_b 4.876
_cell_length_c 10.755
_cell_angle_alpha 90.00
_cell_angle_beta 90.00
_cell_angle_gamma 95.15
loop_
_space_group_symop_operation_xyz
'x,y,z'
loop_
_atom_site_label
_atom_site_type_symbol
_atom_site_fract_x
_atom_site_fract_y
_atom_site_fract_z
_atom_site_occupancy
Sn1 Sn 0.697 0.697 0.597 1
Sn2 Sn 0.303 0.303 0.403 1
Sn3 Sn 0.697 0.697 0.903 1
Sn4 Sn 0.303 0.303 0.097 1
K1 K 0.781 0.781 0.250 1
K2 K 0.219 0.219 0.750 1
Pt1 Pt 0.797 0.203 0.000 1
Pt2 Pt 0.797 0.203 0.500 1
Pt3 Pt 0.203 0.797 0.000 1
Pt4 Pt 0.203 0.797 0.500 1
```

total magnetization = 0.000 μB/atom
volume = 254.7 Å³/cell
space-group type = Cmcm (63)

ii.
First-principles (GGA-PBE) data for KSn2Pt2 after structural relaxation, as listed in the Alexandria database.

Geometry as CIF:
```
data_KSn2Pt2
_space_group_name_H-M_alt 'P 1'
_space_group_IT_number 1
_cell_length_a 4.781
_cell_length_b 4.781
_cell_length_c 6.318
_cell_angle_alpha 67.77
_cell_angle_beta 67.77
_cell_angle_gamma 90.00
loop_
_space_group_symop_operation_xyz
'x,y,z'
loop_
_atom_site_label
_atom_site_type_symbol
_atom_site_fract_x
_atom_site_fract_y
_atom_site_fract_z
_atom_site_occupancy
Pt1 Pt 0.628 0.628 0.744 1
Pt2 Pt 0.372 0.372 0.256 1
Sn1 Sn 0.250 0.750 0.500 1
Sn2 Sn 0.750 0.250 0.500 1
K1 K 0.000 0.000 0.000 1
```

total magnetization = 0.000 μB/atom
volume = 122.0 Å³/cell
space-group type = I4/mmm (139)

iii.
First-principles (GGA-PBE) data for KSn2Pt2 after structural relaxation, as listed in the Alexandria database.

Geometry as CIF:
```
data_KSn2Pt2
_space_group_name_H-M_alt 'P 1'
_space_group_IT_number 1
_cell_length_a 8.591
_cell_length_b 8.591
_cell_length_c 2.943
_cell_angle_alpha 90.00
_cell_angle_beta 90.00
_cell_angle_gamma 90.00
loop_
_space_group_symop_operation_xyz
'x,y,z'
loop_
_atom_site_label
_atom_site_type_symbol
_atom_site_fract_x
_atom_site_fract_y
_atom_site_fract_z
_atom_site_occupancy
Pt1 Pt 0.843 0.343 0.500 1
Pt2 Pt 0.657 0.843 0.500 1
Pt3 Pt 0.343 0.157 0.500 1
Pt4 Pt 0.157 0.657 0.500 1
K1 K 0.500 0.500 0.000 1
K2 K 0.000 0.000 0.000 1
Sn1 Sn 0.864 0.636 0.000 1
Sn2 Sn 0.364 0.864 0.000 1
Sn3 Sn 0.136 0.364 0.000 1
Sn4 Sn 0.636 0.136 0.000 1
```

total magnetization = 0.000 μB/atom
volume = 217.2 Å³/cell
space-group type = P4/mbm (127)

iv.
First-principles (GGA-PBE) data for KSn2Pt2 after structural relaxation, as listed in the Alexandria database.

Geometry as CIF:
```
data_KSn2Pt2
_space_group_name_H-M_alt 'P 1'
_space_group_IT_number 1
_cell_length_a 4.610
_cell_length_b 5.075
_cell_length_c 6.196
_cell_angle_alpha 107.43
_cell_angle_beta 111.84
_cell_angle_gamma 90.00
loop_
_space_group_symop_operation_xyz
'x,y,z'
loop_
_atom_site_label
_atom_site_type_symbol
_atom_site_fract_x
_atom_site_fract_y
_atom_site_fract_z
_atom_site_occupancy
Pt1 Pt 0.251 0.830 0.503 1
Pt2 Pt 0.749 0.170 0.497 1
Sn1 Sn 0.349 0.406 0.698 1
Sn2 Sn 0.651 0.594 0.302 1
K1 K 0.000 0.000 0.000 1
```

total magnetization = 0.000 μB/atom
volume = 127.4 Å³/cell
space-group type = C2/m (12)

iv wins, 0.007 eV/atom ahead of the next structure.

i.
First-principles (GGA-PBE) data for K3Sn4Pt2 after structural relaxation, as listed in the Alexandria database.

Geometry as CIF:
```
data_K3Sn4Pt2
_space_group_name_H-M_alt 'P 1'
_space_group_IT_number 1
_cell_length_a 4.501
_cell_length_b 7.220
_cell_length_c 9.689
_cell_angle_alpha 110.11
_cell_angle_beta 90.00
_cell_angle_gamma 108.16
loop_
_space_group_symop_operation_xyz
'x,y,z'
loop_
_atom_site_label
_atom_site_type_symbol
_atom_site_fract_x
_atom_site_fract_y
_atom_site_fract_z
_atom_site_occupancy
Sn1 Sn 0.707 0.415 0.079 1
Sn2 Sn 0.079 0.158 0.650 1
Sn3 Sn 0.921 0.842 0.350 1
Sn4 Sn 0.293 0.585 0.921 1
Pt1 Pt 0.328 0.656 0.216 1
Pt2 Pt 0.672 0.344 0.784 1
K1 K 0.000 0.000 0.000 1
K2 K 0.369 0.737 0.616 1
K3 K 0.631 0.263 0.384 1
```

total magnetization = 0.000 μB/atom
volume = 278.9 Å³/cell
space-group type = C2/m (12)

ii.
First-principles (GGA-PBE) data for K3Sn4Pt2 after structural relaxation, as listed in the Alexandria database.

Geometry as CIF:
```
data_K3Sn4Pt2
_space_group_name_H-M_alt 'P 1'
_space_group_IT_number 1
_cell_length_a 6.911
_cell_length_b 9.903
_cell_length_c 9.903
_cell_angle_alpha 66.74
_cell_angle_beta 74.04
_cell_angle_gamma 74.04
loop_
_space_group_symop_operation_xyz
'x,y,z'
loop_
_atom_site_label
_atom_site_type_symbol
_atom_site_fract_x
_atom_site_fract_y
_atom_site_fract_z
_atom_site_occupancy
Sn1 Sn 0.843 0.385 0.905 1
Sn2 Sn 0.657 0.095 0.615 1
Sn3 Sn 0.343 0.905 0.385 1
Sn4 Sn 0.481 0.605 0.776 1
Sn5 Sn 0.519 0.395 0.224 1
Sn6 Sn 0.157 0.615 0.095 1
Sn7 Sn 0.981 0.776 0.605 1
Sn8 Sn 0.019 0.224 0.395 1
Pt1 Pt 0.910 0.421 0.145 1
Pt2 Pt 0.410 0.145 0.421 1
Pt3 Pt 0.090 0.579 0.855 1
Pt4 Pt 0.590 0.855 0.579 1
K1 K 0.376 0.226 0.006 1
K2 K 0.750 0.580 0.420 1
K3 K 0.250 0.420 0.580 1
K4 K 0.624 0.774 0.994 1
K5 K 0.876 0.006 0.226 1
K6 K 0.124 0.994 0.774 1
```

total magnetization = 0.000 μB/atom
volume = 587.9 Å³/cell
space-group type = C2/c (15)

i wins, 0.029 eV/atom ahead of the next structure.